# 1
Here is an optimized crystal structure of K2ZnHg2 from Alexandria. Energies are from PBE.

Lattice parameters (Å, degrees): 7.707 7.707 5.575 90.00 90.00 90.00
Positions (direct):
K (0.175, 0.675, 0.500)
K (0.675, 0.825, 0.500)
K (0.825, 0.325, 0.500)
K (0.325, 0.175, 0.500)
Zn (0.000, 0.000, 0.000)
Zn (0.500, 0.500, 0.000)
Hg (0.358, 0.858, 0.000)
Hg (0.858, 0.642, 0.000)
Hg (0.642, 0.142, 0.000)
Hg (0.142, 0.358, 0.000)

- DFT formation energy: -109 meV per atom
- Total moment: 0.000 μB per formula unit
- Energy: -0.92 eV per atom
- Offset from the most stable computed form: 47 meV per atom
- DOS at the Fermi energy: 0.532 states/eV per atom


# 2
Here is an optimized crystal structure of KZnHg from Alexandria. Energies are from PBE.

Lattice parameters (Å, degrees): 5.254 5.254 5.254 60.00 60.00 60.00
Positions (direct):
Hg (0.000, 0.000, 0.000)
K (0.500, 0.500, 0.500)
Zn (0.750, 0.750, 0.750)

- DFT formation energy: 67 meV per atom
- Total moment: 0.000 μB per formula unit
- Energy: -0.82 eV per atom
- Offset from the most stable computed form: 139 meV per atom
- DOS at the Fermi energy: 0.688 states/eV per atom


# 3
Here is an optimized crystal structure of K2Zn2Hg from Alexandria. Energies are from PBE.

Lattice parameters (Å, degrees): 3.815 3.815 11.286 80.27 80.27 90.00
Positions (direct):
K (0.388, 0.388, 0.223)
K (0.612, 0.612, 0.777)
Zn (0.750, 0.250, 0.500)
Zn (0.250, 0.750, 0.500)
Hg (0.000, 0.000, 0.000)

- DFT formation energy: 3 meV per atom
- Total moment: 0.000 μB per formula unit
- Energy: -1.01 eV per atom
- Offset from the most stable computed form: 0 meV per atom
- DOS at the Fermi energy: 0.432 states/eV per atom